Computed, not measured: a relaxed structure of YZr2Sb at the PBE level of DFT.

Cell: 4.430 4.438 4.871 Å, 90.00 90.00 90.00°
Atoms (fractional coordinates):
Sb1 0.500 0.000 0.500
Y1 0.000 0.500 0.500
Zr1 0.000 0.000 0.000
Zr2 0.500 0.500 0.000

## Properties
Density: 6.817 g/cm³
Total DFT energy (no corrections): -7.29 eV/atom